Compound: Ta2AgMoH
Source: the Alexandria database
Functional: PBE
Structure: optimized geometry

Cell lengths 4.2480, 4.2480, 3.9314 Å; angles 90.00, 90.00, 90.00 degrees
Closest atoms and distances in Å follow each position.
Positions (direct):
Ta1 0.0000 0.5000 0.0000  2 H 2.12
Ta2 0.5000 0.0000 0.0000  2 H 2.12
Ag1 0.0000 0.0000 0.5000  8 Ta 2.89, 4 Mo 3.00
Mo1 0.5000 0.5000 0.5000  2 H 1.97
H1 0.5000 0.5000 0.0000  2 Mo 1.97, 4 Ta 2.12

Computed properties:
raw total energy	-7.982	eV per atom

Compound: TaAgMo2H
Source: the Alexandria database
Functional: PBE
Structure: optimized geometry

Cell lengths 4.7836, 4.7836, 5.2369 Å; angles 90.00, 90.00, 90.00 degrees
Closest atoms and distances in Å follow each position.
Positions (direct):
Ta1 0.0000 0.0000 0.0000  4 Mo 2.39, 2 Ag 2.62
Ag1 0.0000 0.0000 0.5000  2 Ta 2.62
Mo1 0.0000 0.5000 0.0000  2 Ta 2.39
Mo2 0.5000 0.0000 0.0000  2 Ta 2.39
H1 0.5000 0.5000 0.5000  4 Ag 3.38, 8 Mo 3.55

Computed properties:
raw total energy	-5.629	eV per atom

Compound: Ti2AgMoH
Source: the Alexandria database
Functional: PBE
Structure: optimized geometry

Cell lengths 4.3579, 4.3579, 3.5921 Å; angles 90.00, 90.00, 90.00 degrees
Closest atoms and distances in Å follow each position.
Positions (direct):
Ti1 0.0000 0.5000 0.0000  2 H 2.18
Ti2 0.5000 0.0000 0.0000  2 H 2.18
Ag1 0.0000 0.0000 0.5000  8 Ti 2.82, 4 Mo 3.08
Mo1 0.5000 0.5000 0.5000  2 H 1.80
H1 0.5000 0.5000 0.0000  2 Mo 1.80

Computed properties:
raw total energy	-6.613	eV per atom

Compound: AgH2N
Source: the Alexandria database
Functional: PBE
Structure: optimized geometry

Cell lengths 3.5331, 3.5331, 3.5331 Å; angles 60.00, 60.00, 60.00 degrees
Closest atoms and distances in Å follow each position.
Positions (direct):
Ag1 0.0000 0.0000 0.0000  8 H 2.16
H1 0.2500 0.2500 0.2500  4 N 2.16, 4 Ag 2.16
H2 0.7500 0.7500 0.7500  4 N 2.16, 4 Ag 2.16
N1 0.5000 0.5000 0.5000  8 H 2.16

Computed properties:
raw total energy	-2.915	eV per atom